No. 1
A crystal of Sn relaxed with PBEsol, computed with SCAN.

Lattice parameters (Å, degrees): 3.3647 3.3647 8.3536 88.75 102.36 121.51
Closest atoms and distances in Å follow each position.
Positions (direct):
1 Sn 0.5000 0.0000 0.5000  12 Sn 3.24-3.36
2 Sn 0.9634 0.2050 0.1684  12 Sn 3.24-3.39
3 Sn 0.0366 0.7950 0.8316  12 Sn 3.24-3.39

final energy: -35.697 eV/atom
space-group type: C2/m
E_form: 0.224 eV per atom
mass density: 7.55 g/cm3
energy relative to the lowest polymorph listed for this composition: 224 meV per atom
spin magnetization: 0.00 μB per atom

=====

No. 2
A crystal of Sn relaxed with PBEsol, computed with SCAN.

Lattice parameters (Å, degrees): 4.6103 4.6103 4.6103 60.00 60.00 60.00
Closest atoms and distances in Å follow each position.
Positions (direct):
1 Sn 0.2500 0.2500 0.2500  4 Sn 2.82
2 Sn 0.0000 0.0000 0.0000  4 Sn 2.82

final energy: -35.921 eV/atom
space-group type: Fd-3m
E_form: 0.000 eV per atom
mass density: 5.69 g/cm3
energy relative to the lowest polymorph listed for this composition: 0 meV per atom
spin magnetization: 0.00 μB per atom

=====

No. 3
A crystal of Sn relaxed with PBEsol, computed with SCAN.

Lattice parameters (Å, degrees): 3.3412 3.3412 5.3802 90.00 90.00 120.00
Closest atoms and distances in Å follow each position.
Positions (direct):
1 Sn 0.3333 0.6667 0.2500  12 Sn 3.31-3.34
2 Sn 0.6667 0.3333 0.7500  12 Sn 3.31-3.34

final energy: -35.699 eV/atom
space-group type: P6_3/mmc
E_form: 0.222 eV per atom
mass density: 7.58 g/cm3
energy relative to the lowest polymorph listed for this composition: 222 meV per atom
spin magnetization: 0.00 μB per atom

=====

No. 4
A crystal of Sn relaxed with PBEsol, computed with SCAN.

Lattice parameters (Å, degrees): 3.2465 3.2465 3.2465 74.16 73.97 116.80
Closest atoms and distances in Å follow each position.
Positions (direct):
1 Sn 0.0000 0.0000 0.0000  10 Sn 3.25-3.40

final energy: -35.722 eV/atom
space-group type: Immm
E_form: 0.199 eV per atom
mass density: 7.58 g/cm3
energy relative to the lowest polymorph listed for this composition: 199 meV per atom
spin magnetization: 0.00 μB per atom

=====

No. 5
A crystal of Sn relaxed with PBEsol, computed with SCAN.

Lattice parameters (Å, degrees): 5.9089 5.9089 5.9089 109.47 109.47 109.47
Closest atoms and distances in Å follow each position.
Positions (direct):
1 Sn 0.6250 0.3750 0.2500  8 Sn 3.19
2 Sn 0.1250 0.2500 0.3750  8 Sn 3.19
3 Sn 0.8750 0.1250 0.7500  8 Sn 3.19
4 Sn 0.2500 0.8750 0.6250  8 Sn 3.19
5 Sn 0.7500 0.6250 0.8750  8 Sn 3.19
6 Sn 0.3750 0.7500 0.1250  8 Sn 3.19

final energy: -35.731 eV/atom
space-group type: I-43d
E_form: 0.190 eV per atom
mass density: 7.45 g/cm3
energy relative to the lowest polymorph listed for this composition: 190 meV per atom
spin magnetization: 0.00 μB per atom

=====

No. 6
A crystal of Sn relaxed with PBEsol, computed with SCAN.

Lattice parameters (Å, degrees): 12.1398 12.1398 12.1398 90.00 90.00 90.00
Closest atoms and distances in Å follow each position.
Positions (direct):
1 Sn 0.5000 0.3832 0.1914  4 Sn 2.81-2.83
2 Sn 0.5000 0.6168 0.8086  4 Sn 2.81-2.83
3 Sn 0.3832 0.1914 0.5000  4 Sn 2.81-2.83
4 Sn 0.6168 0.1914 0.5000  4 Sn 2.81-2.83
5 Sn 0.1914 0.5000 0.3832  4 Sn 2.81-2.83
6 Sn 0.8086 0.5000 0.3832  4 Sn 2.81-2.83
7 Sn 0.0000 0.6914 0.1168  4 Sn 2.81-2.83
8 Sn 0.0000 0.3086 0.8832  4 Sn 2.81-2.83
9 Sn 0.2500 0.0000 0.5000  4 Sn 2.83
10 Sn 0.7500 0.0000 0.5000  4 Sn 2.83
11 Sn 0.0000 0.5000 0.2500  4 Sn 2.83
12 Sn 0.0000 0.5000 0.7500  4 Sn 2.83
13 Sn 0.5000 0.7500 0.0000  4 Sn 2.83
14 Sn 0.5000 0.2500 0.0000  4 Sn 2.83
15 Sn 0.1834 0.1834 0.1834  4 Sn 2.80-2.81
16 Sn 0.6834 0.3166 0.6834  4 Sn 2.80-2.81
17 Sn 0.6834 0.6834 0.3166  4 Sn 2.80-2.81
18 Sn 0.3166 0.6834 0.6834  4 Sn 2.80-2.81
19 Sn 0.8166 0.8166 0.1834  4 Sn 2.80-2.81
20 Sn 0.1834 0.8166 0.8166  4 Sn 2.80-2.81
21 Sn 0.8166 0.1834 0.8166  4 Sn 2.80-2.81
22 Sn 0.3166 0.3166 0.3166  4 Sn 2.80-2.81
23 Sn 0.8166 0.8166 0.8166  4 Sn 2.80-2.81
24 Sn 0.3166 0.6834 0.3166  4 Sn 2.80-2.81
25 Sn 0.3166 0.3166 0.6834  4 Sn 2.80-2.81
26 Sn 0.6834 0.3166 0.3166  4 Sn 2.80-2.81
27 Sn 0.1834 0.1834 0.8166  4 Sn 2.80-2.81
28 Sn 0.8166 0.1834 0.1834  4 Sn 2.80-2.81
29 Sn 0.1834 0.8166 0.1834  4 Sn 2.80-2.81
30 Sn 0.6834 0.6834 0.6834  4 Sn 2.80-2.81
31 Sn 0.0000 0.3086 0.1168  4 Sn 2.81-2.83
32 Sn 0.5000 0.3832 0.8086  4 Sn 2.81-2.83
33 Sn 0.5000 0.6168 0.1914  4 Sn 2.81-2.83
34 Sn 0.6168 0.8086 0.5000  4 Sn 2.81-2.83
35 Sn 0.3832 0.8086 0.5000  4 Sn 2.81-2.83
36 Sn 0.1914 0.5000 0.6168  4 Sn 2.81-2.83
37 Sn 0.8086 0.5000 0.6168  4 Sn 2.81-2.83
38 Sn 0.1168 0.0000 0.3086  4 Sn 2.81-2.83
39 Sn 0.3086 0.1168 0.0000  4 Sn 2.81-2.83
40 Sn 0.6914 0.8832 0.0000  4 Sn 2.81-2.83
41 Sn 0.1168 0.0000 0.6914  4 Sn 2.81-2.83
42 Sn 0.6914 0.1168 0.0000  4 Sn 2.81-2.83
43 Sn 0.8832 0.0000 0.3086  4 Sn 2.81-2.83
44 Sn 0.8832 0.0000 0.6914  4 Sn 2.81-2.83
45 Sn 0.3086 0.8832 0.0000  4 Sn 2.81-2.83
46 Sn 0.0000 0.6914 0.8832  4 Sn 2.81-2.83

final energy: -35.877 eV/atom
space-group type: Pm-3n
E_form: 0.044 eV per atom
mass density: 5.07 g/cm3
energy relative to the lowest polymorph listed for this composition: 44 meV per atom
spin magnetization: 0.00 μB per atom

=====

No. 7
A crystal of SrSn3 relaxed with PBEsol, computed with SCAN.

Lattice parameters (Å, degrees): 4.7714 4.7714 4.7714 90.00 90.00 90.00
Closest atoms and distances in Å follow each position.
Positions (direct):
1 Sr 0.0000 0.0000 0.0000  12 Sn 3.37
2 Sn 0.0000 0.5000 0.5000  8 Sn 3.37, 4 Sr 3.37
3 Sn 0.5000 0.0000 0.5000  8 Sn 3.37, 4 Sr 3.37
4 Sn 0.5000 0.5000 0.0000  8 Sn 3.37, 4 Sr 3.37

final energy: -32.943 eV/atom
space-group type: Pm-3m
E_form: -0.433 eV per atom
mass density: 6.78 g/cm3
spin magnetization: 0.00 μB per atom

=====

No. 8
A crystal of SrSn relaxed with PBEsol, computed with SCAN.

Lattice parameters (Å, degrees): 4.4772 4.9936 6.4878 67.37 90.00 90.00
Closest atoms and distances in Å follow each position.
Positions (direct):
1 Sr 0.7500 0.8638 0.2723  7 Sn 3.41-3.59
2 Sr 0.2500 0.1362 0.7277  7 Sn 3.41-3.59
3 Sn 0.7500 0.5792 0.8417  2 Sn 2.93
4 Sn 0.2500 0.4208 0.1583  2 Sn 2.93

final energy: -29.880 eV/atom
space-group type: Cmcm
E_form: -0.782 eV per atom
mass density: 5.12 g/cm3
spin magnetization: 0.00 μB per atom

=====

No. 9
A crystal of SrSn3 relaxed with PBEsol, computed with SCAN.

Lattice parameters (Å, degrees): 6.8541 6.8541 11.5962 72.81 72.81 60.00
Closest atoms and distances in Å follow each position.
Positions (direct):
1 Sr 0.8696 0.8696 0.3911  12 Sn 3.42-3.49
2 Sr 0.1304 0.1304 0.6089  12 Sn 3.42-3.49
3 Sr 0.7101 0.7101 0.8698  12 Sn 3.42-3.44
4 Sr 0.2899 0.2899 0.1302  12 Sn 3.42-3.44
5 Sn 0.2836 0.7959 0.1247  8 Sn 3.28-3.51, 4 Sr 3.43-3.49
6 Sn 0.7959 0.2836 0.1247  8 Sn 3.28-3.51, 4 Sr 3.43-3.49
7 Sn 0.8380 0.3964 0.3692  6 Sn 3.03-3.34
8 Sn 0.3964 0.8380 0.3692  6 Sn 3.03-3.34
9 Sn 0.3964 0.3964 0.3692  6 Sn 3.03-3.34
10 Sn 0.6036 0.6036 0.6308  6 Sn 3.03-3.34
11 Sn 0.1620 0.6036 0.6308  6 Sn 3.03-3.34
12 Sn 0.6036 0.1620 0.6308  6 Sn 3.03-3.34
13 Sn 0.7959 0.7959 0.1247  8 Sn 3.28-3.51, 4 Sr 3.43-3.49
14 Sn 0.2041 0.2041 0.8753  8 Sn 3.28-3.51, 4 Sr 3.43-3.49
15 Sn 0.2041 0.7164 0.8753  8 Sn 3.28-3.51, 4 Sr 3.43-3.49
16 Sn 0.7164 0.2041 0.8753  8 Sn 3.28-3.51, 4 Sr 3.43-3.49

final energy: -32.952 eV/atom
space-group type: R-3m
E_form: -0.443 eV per atom
mass density: 6.65 g/cm3
spin magnetization: 0.00 μB per atom

=====

No. 10
A crystal of SrSn3 relaxed with PBEsol, computed with SCAN.

Lattice parameters (Å, degrees): 5.4714 6.8960 6.8960 120.00 90.00 90.00
Closest atoms and distances in Å follow each position.
Positions (direct):
1 Sr 0.2500 0.3333 0.6667  12 Sn 3.45-3.50
2 Sr 0.7500 0.6667 0.3333  12 Sn 3.45-3.50
3 Sn 0.2500 0.3001 0.1500  6 Sn 3.10-3.27, 2 Sr 3.45
4 Sn 0.7500 0.1500 0.3001  6 Sn 3.10-3.27, 2 Sr 3.45
5 Sn 0.7500 0.1500 0.8500  6 Sn 3.10-3.27, 2 Sr 3.45
6 Sn 0.2500 0.8500 0.1500  6 Sn 3.10-3.27, 2 Sr 3.45
7 Sn 0.2500 0.8500 0.6999  6 Sn 3.10-3.27, 2 Sr 3.45
8 Sn 0.7500 0.6999 0.8500  6 Sn 3.10-3.27, 2 Sr 3.45

final energy: -32.949 eV/atom
space-group type: P6_3/mmc
E_form: -0.439 eV per atom
mass density: 6.54 g/cm3
spin magnetization: 0.00 μB per atom

=====

No. 11
A crystal of SrTaSn3 relaxed with PBEsol, computed with SCAN.

Lattice parameters (Å, degrees): 5.3285 5.3285 5.3285 90.00 90.00 90.00
Closest atoms and distances in Å follow each position.
Positions (direct):
1 Sr 0.5000 0.5000 0.5000  12 Sn 3.77
2 Sn 0.0000 0.5000 0.0000  2 Ta 2.66
3 Sn 0.0000 0.0000 0.5000  2 Ta 2.66
4 Sn 0.5000 0.0000 0.0000  2 Ta 2.66
5 Ta 0.0000 0.0000 0.0000  6 Sn 2.66

final energy: -39.450 eV/atom
space-group type: Pm-3m
E_form: -0.126 eV per atom
mass density: 6.86 g/cm3
spin magnetization: 0.00 μB per atom

=====

No. 12
A crystal of SrTc2Sn2 relaxed with PBEsol, computed with SCAN.

Lattice parameters (Å, degrees): 4.2546 4.2546 6.8282 108.15 108.15 90.00
Closest atoms and distances in Å follow each position.
Positions (direct):
1 Sr 0.0000 0.0000 0.0000  8 Sn 3.35, 8 Tc 3.73
2 Sn 0.3802 0.3802 0.7603  4 Tc 2.66, 1 Sn 2.94
3 Sn 0.6198 0.6198 0.2397  4 Tc 2.66, 1 Sn 2.94
4 Tc 0.2500 0.7500 0.5000  4 Sn 2.66
5 Tc 0.7500 0.2500 0.5000  4 Sn 2.66

final energy: -32.877 eV/atom
space-group type: I4/mmm
E_form: -0.030 eV per atom
mass density: 7.80 g/cm3
spin magnetization: 0.49 μB per atom

=====

No. 13
A crystal of Sr2Tc2Sn relaxed with PBEsol, computed with SCAN.

Lattice parameters (Å, degrees): 4.6797 4.6797 7.1073 109.22 109.22 90.00
Closest atoms and distances in Å follow each position.
Positions (direct):
1 Sr 0.2500 0.7500 0.5000  4 Tc 3.15, 4 Sr 3.31
2 Sr 0.7500 0.2500 0.5000  4 Tc 3.15, 4 Sr 3.31
3 Sn 0.0000 0.0000 0.0000  8 Tc 3.47
4 Tc 0.4177 0.4177 0.8355  1 Tc 2.07
5 Tc 0.5823 0.5823 0.1645  1 Tc 2.07

final energy: -29.019 eV/atom
space-group type: I4/mmm
E_form: 1.099 eV per atom
mass density: 5.91 g/cm3
spin magnetization: 0.81 μB per atom